Entry from the Alexandria database: a relaxed TlVBi3 crystal (PBE-GGA).

a = 5.3720 Å, b = 5.3720 Å, c = 5.3720 Å
α = 90.00°, β = 90.00°, γ = 90.00°
Fractional positions:
Tl1 0.5000 0.5000 0.5000
Bi1 0.0000 0.5000 0.0000
Bi2 0.0000 0.0000 0.5000
Bi3 0.5000 0.0000 0.0000
V1 0.0000 0.0000 0.0000

## Properties
SG   Pm-3m
Total magnetic moment   0.000 μB/atom
VASP energy   -4.336 eV per atom
Energy relative to the elements   0.2892 eV/atom